Version P
K3SbSe PBE optimized geometry; space group = Pm-3m (221)
1.0
-3.791 -4.131 -2.726
0.076 -3.481 5.171
-4.949 3.111 2.167
Sb K Se
1 3 1
Cartesian
-4.332 -2.251 2.306
0.038 -1.741 2.586
-2.474 1.556 1.083
-1.895 -2.065 -1.363
0.000 0.000 0.000


Version Q
K3SbSe PBE optimized geometry; space group = C2/m (12)
1.0
-0.884 4.364 -0.767
-4.706 -4.294 -5.703
-7.095 -0.019 8.056
K Sb Se
6 2 2
Cartesian
-3.363 -0.465 1.664
-8.704 -1.967 -0.725
-7.738 1.538 4.793
-5.981 0.059 -5.652
-3.251 -1.231 -2.822
-6.095 0.823 -1.164
-7.085 -1.097 2.351
-9.354 0.670 1.718
-6.501 -1.901 -2.890
-2.845 1.494 -1.097


Energy comparison, zero being the most stable, in kJ/mol of atoms: version P 26.0; version Q 0.0.


Version P
KSb2TeSe PBE optimized geometry; space group = P4/mmm (123)
1.0
-1.285 5.478 -1.994
-5.206 -0.159 2.917
2.585 2.332 4.740
Sb K Te Se
2 1 1 1
Cartesian
-2.603 -0.080 1.459
-0.643 2.739 -0.997
0.000 0.000 0.000
1.292 1.166 2.370
-1.953 3.825 2.832


Version Q
KSb2TeSe PBE optimized geometry; space group = P4/mmm (123)
1.0
5.588 0.000 0.000
0.000 5.588 0.000
0.000 0.000 5.671
Sb K Te Se
2 1 1 1
Cartesian
0.000 2.794 0.000
2.794 0.000 0.000
2.794 2.794 2.836
0.000 0.000 2.836
0.000 0.000 0.000


Energy comparison, zero being the most stable, in kJ/mol of atoms: version P 113.9; version Q 0.0.